## SnBi2S5 (PBE-GGA)

Data for a relaxed SnBi2S5 crystal.

```
data_SnBi2S5
_chemical_formula_sum 'Sn4 Bi8 S20'
_cell_length_a 5.422
_cell_length_b 13.740
_cell_length_c 12.878
_cell_angle_alpha 90.00
_cell_angle_beta 90.00
_cell_angle_gamma 90.00
_symmetry_space_group_name_H-M 'C m c m'
_symmetry_Int_Tables_number 63
_symmetry_space_group_name_Hall '-C 2c 2'
loop_
_atom_site_label
_atom_site_fract_x
_atom_site_fract_y
_atom_site_fract_z
_atom_site_occupancy
Sn1 0.000 0.177 0.250 1
Bi1 0.000 0.152 0.566 1
S1 0.000 0.049 0.113 1
S2 0.000 0.277 0.750 1
S3 0.000 0.300 0.093 1
```

Values from the calculation:
Formation energy from raw total energies   -0.243 eV/atom



## Tb7Er5Tm (PBE-GGA)

Data for a relaxed Tb7Er5Tm crystal.

```
data_Tb7Er5Tm
_chemical_formula_sum 'Tb14 Er10 Tm2'
_cell_length_a 6.635
_cell_length_b 11.082
_cell_length_c 11.447
_cell_angle_alpha 90.00
_cell_angle_beta 90.00
_cell_angle_gamma 90.00
_symmetry_space_group_name_H-M 'I m m 2'
_symmetry_Int_Tables_number 44
loop_
_symmetry_equiv_pos_as_xyz
'x,y,z'
'-x,-y,z'
'-x,y,z'
'x,-y,z'
'x+1/2,y+1/2,z+1/2'
'-x+1/2,-y+1/2,z+1/2'
'-x+1/2,y+1/2,z+1/2'
'x+1/2,-y+1/2,z+1/2'
loop_
_atom_site_label
_atom_site_fract_x
_atom_site_fract_y
_atom_site_fract_z
_atom_site_occupancy
Tb1 0.000 0.000 0.000 1
Tb2 0.000 0.000 0.309 1
Tb3 0.000 0.327 0.753 1
Tb4 0.000 0.328 0.251 1
Tb5 0.000 0.500 0.501 1
Er1 0.000 0.500 0.002 1
Er2 0.232 0.228 0.503 1
Tm1 0.000 0.000 0.691 1
```

Values from the calculation:
Formation energy   24.7 kJ per mole of atoms



## Cu2Pt (PBE-GGA)

Data for a relaxed Cu2Pt crystal.

```
data_Cu2Pt
_chemical_formula_sum 'Cu4 Pt2'
_cell_length_a 2.827
_cell_length_b 2.827
_cell_length_c 9.927
_cell_angle_alpha 90.00
_cell_angle_beta 90.00
_cell_angle_gamma 90.00
_symmetry_space_group_name_H-M 'I 4/m m m'
_symmetry_Int_Tables_number 139
_symmetry_space_group_name_Hall '-I 4 2'
loop_
_atom_site_label
_atom_site_fract_x
_atom_site_fract_y
_atom_site_fract_z
_atom_site_occupancy
Cu1 0.000 0.000 0.174 1
Pt1 0.000 0.000 0.500 1
```

Values from the calculation:
Energy above the lowest structure with this stoichiometry   30 meV per atom
Formation energy   -11.2 kJ per mole of atoms



## TbPr2Br8 (PBE-GGA)

Data for a relaxed TbPr2Br8 crystal.

```
data_TbPr2Br8
_chemical_formula_sum 'Tb2 Pr4 Br16'
_cell_length_a 8.798
_cell_length_b 13.274
_cell_length_c 6.243
_cell_angle_alpha 90.00
_cell_angle_beta 108.44
_cell_angle_gamma 90.00
_symmetry_space_group_name_H-M 'C 1 2/m 1'
_symmetry_Int_Tables_number 12
loop_
_symmetry_equiv_pos_as_xyz
'x,y,z'
'-x,-y,-z'
'-x,y,-z'
'x,-y,z'
'x+1/2,y+1/2,z'
'-x+1/2,-y+1/2,-z'
'-x+1/2,y+1/2,-z'
'x+1/2,-y+1/2,z'
loop_
_atom_site_label
_atom_site_fract_x
_atom_site_fract_y
_atom_site_fract_z
_atom_site_occupancy
Tb1 0.000 0.000 0.000 1
Pr1 0.000 0.308 0.500 1
Br1 0.000 0.214 0.000 1
Br2 0.145 0.500 0.815 1
Br3 0.209 0.129 0.606 1
```

Values from the calculation:
Formation energy from raw total energies   -1.620 eV/atom



## NdY2Be (PBE-GGA)

Data for a relaxed NdY2Be crystal.

```
data_NdY2Be
_chemical_formula_sum 'Nd1 Y2 Be1'
_cell_length_a 3.480
_cell_length_b 3.480
_cell_length_c 8.856
_cell_angle_alpha 90.00
_cell_angle_beta 90.00
_cell_angle_gamma 90.00
_symmetry_space_group_name_H-M 'P 4/m m m'
_symmetry_Int_Tables_number 123
_symmetry_space_group_name_Hall '-P 4 2'
loop_
_atom_site_label
_atom_site_fract_x
_atom_site_fract_y
_atom_site_fract_z
_atom_site_occupancy
Nd1 0.000 0.000 0.000 1
Y1 0.500 0.500 0.312 1
Be1 0.000 0.000 0.500 1
```

Values from the calculation:
Formation energy   5.8 kJ per mole of atoms



## HfFeCo2Si (PBE-GGA)

Data for a relaxed HfFeCo2Si crystal.

```
data_HfFeCo2Si
_chemical_formula_sum 'Hf1 Fe1 Co2 Si1'
_cell_length_a 4.120
_cell_length_b 4.120
_cell_length_c 4.152
_cell_angle_alpha 90.00
_cell_angle_beta 90.00
_cell_angle_gamma 90.00
_symmetry_space_group_name_H-M 'P 4/m m m'
_symmetry_Int_Tables_number 123
_symmetry_space_group_name_Hall '-P 4 2'
loop_
_atom_site_label
_atom_site_fract_x
_atom_site_fract_y
_atom_site_fract_z
_atom_site_occupancy
Hf1 0.000 0.000 0.000 1
Fe1 0.500 0.500 0.000 1
Co1 0.000 0.500 0.500 1
Si1 0.500 0.500 0.500 1
```

Values from the calculation:
Formation energy from raw total energies   0.097 eV/atom



| no. | V (Å³ per cell) | spin magnetization (Bohr magnetons per cell) |
| --- | --- | --- |
| 1 | 959 | 0.00 |
| 2 | 842 | 0.00 |
| 3 | 79 | 0.00 |
| 4 | 692 | 2.10 |
| 5 | 107 | 0.00 |
| 6 | 70 | 0.00 |